[1]
# BaTb2Mo4O16, relaxed, DFT PBEsol
data_BaTb2Mo4O16
_chemical_formula_sum 'Ba2 Tb4 Mo8 O32'
_cell_length_a 6.750
_cell_length_b 6.750
_cell_length_c 19.396
_cell_angle_alpha 90.81
_cell_angle_beta 90.81
_cell_angle_gamma 134.81
_symmetry_space_group_name_H-M 'P 1'
_symmetry_Int_Tables_number 1
_symmetry_space_group_name_Hall 'P 1'
loop_
_atom_site_label
_atom_site_type_symbol
_atom_site_fract_x
_atom_site_fract_y
_atom_site_fract_z
Ba1 Ba 0.035 0.965 0.750
Ba2 Ba 0.965 0.035 0.250
Tb1 Tb 0.145 0.850 0.532
Tb2 Tb 0.150 0.855 0.968
Tb3 Tb 0.850 0.145 0.032
Tb4 Tb 0.855 0.150 0.468
Mo1 Mo 0.251 0.740 0.147
Mo2 Mo 0.260 0.749 0.353
Mo3 Mo 0.427 0.546 0.909
Mo4 Mo 0.454 0.573 0.591
Mo5 Mo 0.546 0.427 0.409
Mo6 Mo 0.573 0.454 0.091
Mo7 Mo 0.740 0.251 0.647
Mo8 Mo 0.749 0.260 0.853
O1 O 0.005 0.270 0.829
O2 O 0.067 0.590 0.433
O3 O 0.084 0.387 0.133
O4 O 0.094 0.494 0.289
O5 O 0.169 0.511 0.956
O6 O 0.224 0.324 0.397
O7 O 0.227 0.261 0.535
O8 O 0.261 0.227 0.035
O9 O 0.270 0.005 0.329
O10 O 0.289 0.455 0.668
O11 O 0.324 0.224 0.897
O12 O 0.387 0.084 0.633
O13 O 0.410 0.933 0.067
O14 O 0.455 0.289 0.168
O15 O 0.489 0.831 0.544
O16 O 0.494 0.094 0.789
O17 O 0.506 0.906 0.211
O18 O 0.511 0.169 0.456
O19 O 0.545 0.711 0.832
O20 O 0.590 0.067 0.933
O21 O 0.613 0.916 0.367
O22 O 0.676 0.776 0.103
O23 O 0.711 0.545 0.332
O24 O 0.730 0.995 0.671
O25 O 0.739 0.773 0.965
O26 O 0.773 0.739 0.465
O27 O 0.776 0.676 0.603
O28 O 0.831 0.489 0.044
O29 O 0.906 0.506 0.711
O30 O 0.916 0.613 0.867
O31 O 0.933 0.410 0.567
O32 O 0.995 0.730 0.171
# total magnetic moment	0.0	μB per formula unit
# formation energy from raw total energies	-2.55	eV/atom
# theoretical density	5.80	g cm⁻³
# DOS at the Fermi energy	0.000	states/eV/atom

***

[2]
# LiTeOs2, relaxed, DFT PBEsol
data_LiTeOs2
_chemical_formula_sum 'Li1 Te1 Os2'
_cell_length_a 4.757
_cell_length_b 4.757
_cell_length_c 4.757
_cell_angle_alpha 131.10
_cell_angle_beta 131.10
_cell_angle_gamma 71.66
_symmetry_space_group_name_H-M 'P 1'
_symmetry_Int_Tables_number 1
_symmetry_space_group_name_Hall 'P 1'
loop_
_atom_site_label
_atom_site_type_symbol
_atom_site_fract_x
_atom_site_fract_y
_atom_site_fract_z
Li1 Li 0.000 0.000 0.000
Te1 Te 0.250 0.750 0.500
Os1 Os 0.500 0.500 0.000
Os2 Os 0.750 0.250 0.500
# total magnetic moment	0.0	μB per formula unit
# formation energy from raw total energies	0.54	eV/atom
# theoretical density	14.30	g cm⁻³
# DOS at the Fermi energy	1.032	states/eV/atom

***

[3]
# Ta3BiI, relaxed, DFT PBEsol
data_Ta3BiI
_chemical_formula_sum 'Ta3 Bi1 I1'
_cell_length_a 5.162
_cell_length_b 5.162
_cell_length_c 5.162
_cell_angle_alpha 90.00
_cell_angle_beta 90.00
_cell_angle_gamma 90.00
_symmetry_space_group_name_H-M 'P 1'
_symmetry_Int_Tables_number 1
_symmetry_space_group_name_Hall 'P 1'
loop_
_atom_site_label
_atom_site_type_symbol
_atom_site_fract_x
_atom_site_fract_y
_atom_site_fract_z
Ta1 Ta 0.000 0.000 0.500
Ta2 Ta 0.000 0.500 0.000
Ta3 Ta 0.500 0.000 0.000
Bi1 Bi 0.000 0.000 0.000
I1 I 0.500 0.500 0.500
# total magnetic moment	0.0	μB per formula unit
# formation energy from raw total energies	2.45	eV/atom
# theoretical density	10.61	g cm⁻³
# DOS at the Fermi energy	1.551	states/eV/atom